Record 1
First-principles (PBE) data for an optimized crystal structure of SmTh2Cd6, as listed in Alexandria.

Its density of states at the Fermi level is 10.82 states/eV/cell. For the total DFT energy (no corrections), the calculation gives -54.32 eV per cell. For the energy relative to the elements, the calculation gives -235 meV/atom.

The space group is C2/m (No. 12) and the conventional cell measures 15.343, 8.870 and 3.377 Å, with angles of 90.00, 90.02 and 90.00 degrees. The distinct sites, in fractional coordinates, are Sm at (0.000, 0.000, 0.000), Th at (0.167, 0.500, 0.000), Cd at (0.000, 0.331, 0.500) and Cd at (0.166, 0.165, 0.498).

=====

Record 2
First-principles (PBE) data for an optimized crystal structure of Ta2As, as listed in Alexandria.

Its density of states at the Fermi level is 4.99 states/eV/cell. For the total DFT energy (no corrections), the calculation gives -56.49 eV per cell. For the energy relative to the elements, the calculation gives 37 meV/atom.

The space group is P6_3/mmc (No. 194) and the conventional cell measures 4.6590, 4.6590 and 5.4733 Å, with angles of 90.00, 90.00 and 120.00 degrees. The distinct sites, in fractional coordinates, are Ta at (0.0000, 0.0000, 0.0000), Ta at (0.3333, 0.6667, 0.2500) and As at (0.3333, 0.6667, 0.7500).

=====

Record 3
First-principles (PBE) data for an optimized crystal structure of Na2ZnS2, as listed in Alexandria.

As for the formation energy (no corrections): -0.9865 eV/atom. Its density of states at the Fermi level is 0.00 states/eV/cell. For the total DFT energy (no corrections), the calculation gives -68.40 eV per cell.

The space group is P2_1/c (No. 14) and the conventional cell measures 8.914, 7.076 and 6.897 Å, with angles of 90.00, 93.58 and 90.00 degrees. The distinct sites, in fractional coordinates, are Na at (0.050, 0.236, 0.011), Na at (0.321, 0.671, 0.948), Zn at (0.372, 0.095, 0.844), S at (0.146, 0.542, 0.247) and S at (0.412, 0.111, 0.193).

=====

Record 4
First-principles (PBE) data for an optimized crystal structure of LiTc2Br, as listed in Alexandria.

As for the formation energy (no corrections): 0.8483 eV/atom. Its density of states at the Fermi level is 15.18 states/eV/cell. For the total DFT energy (no corrections), the calculation gives -62.78 eV per cell.

The space group is R-3m (No. 166, hexagonal axes) and the conventional cell measures 2.9165, 2.9165 and 26.1171 Å, with angles of 90.00, 90.00 and 120.00 degrees. The distinct sites, in fractional coordinates, are Li at (0.0000, 0.0000, 0.0000), Tc at (0.0000, 0.0000, 0.2447) and Br at (0.0000, 0.0000, 0.5000).

=====

Record 5
First-principles (PBE) data for an optimized crystal structure of LaDy3Ho, as listed in Alexandria.

Its density of states at the Fermi level is 17.40 states/eV/cell. For the total DFT energy (no corrections), the calculation gives -43.22 eV per cell. For the energy relative to the elements, the calculation gives 340 meV/atom.

The space group is P2_1/m (No. 11) and the conventional cell measures 3.660, 11.645 and 8.556 Å, with angles of 90.00, 102.33 and 90.00 degrees. The distinct sites, in fractional coordinates, are La at (0.193, 0.250, 0.388), Dy at (0.142, 0.750, 0.282), Dy at (0.347, 0.003, 0.694) and Ho at (0.481, 0.750, 0.959).

=====

Record 6
First-principles (PBE) data for an optimized crystal structure of SmErGa, as listed in Alexandria.

Its density of states at the Fermi level is 20.33 states/eV/cell. For the total DFT energy (no corrections), the calculation gives -81.18 eV per cell. For the energy relative to the elements, the calculation gives -407 meV/atom.

The space group is P2_1/m (No. 11) and the conventional cell measures 7.970, 4.527 and 13.439 Å, with angles of 90.00, 90.75 and 90.00 degrees. The distinct sites, in fractional coordinates, are Sm at (0.024, 0.250, 0.215), Sm at (0.359, 0.750, 0.581), Sm at (0.473, 0.750, 0.887), Er at (0.020, 0.250, 0.592), Er at (0.147, 0.250, 0.953), Er at (0.365, 0.750, 0.288), Ga at (0.234, 0.750, 0.082), Ga at (0.245, 0.250, 0.416) and Ga at (0.276, 0.250, 0.750).

=====

Record 7
First-principles (PBE) data for an optimized crystal structure of Ho5TlCd2, as listed in Alexandria.

Its density of states at the Fermi level is 31.74 states/eV/cell. For the total DFT energy (no corrections), the calculation gives -114.89 eV per cell. For the energy relative to the elements, the calculation gives -205 meV/atom.

The space group is I4/mcm (No. 140) and the conventional cell measures 7.764, 7.764 and 15.011 Å, with angles of 90.00, 90.00 and 90.00 degrees. The distinct sites, in fractional coordinates, are Ho at (0.000, 0.000, 0.000), Ho at (0.162, 0.338, 0.154), Tl at (0.000, 0.000, 0.250) and Cd at (0.130, 0.370, 0.500).

=====

Record 8
First-principles (PBE) data for an optimized crystal structure of KEuTlCd, as listed in Alexandria.

Its density of states at the Fermi level is 46.13 states/eV/cell. For the total DFT energy (no corrections), the calculation gives -60.49 eV per cell. For the energy relative to the elements, the calculation gives -117 meV/atom.

The space group is F-43m (No. 216) and the conventional cell measures 8.133, 8.133 and 8.133 Å, with angles of 90.00, 90.00 and 90.00 degrees. The distinct sites, in fractional coordinates, are K at (0.000, 0.000, 0.000), Eu at (0.000, 0.000, 0.500), Tl at (0.250, 0.250, 0.250) and Cd at (0.250, 0.250, 0.750).

=====

Record 9
First-principles (PBE) data for an optimized crystal structure of LiYCl2, as listed in Alexandria.

As for the formation energy (no corrections): -1.2300 eV/atom. Its density of states at the Fermi level is 4.84 states/eV/cell. For the total DFT energy (no corrections), the calculation gives -33.98 eV per cell.

The space group is C2/m (No. 12) and the conventional cell measures 6.887, 8.396 and 3.659 Å, with angles of 90.00, 112.66 and 90.00 degrees. The distinct sites, in fractional coordinates, are Li at (0.000, 0.000, 0.000), Y at (0.000, 0.500, 0.000) and Cl at (0.250, 0.250, 0.000).

=====

Record 10
First-principles (PBE) data for an optimized crystal structure of Pa2CoW, as listed in Alexandria.

Its density of states at the Fermi level is 15.07 states/eV/cell. For the total DFT energy (no corrections), the calculation gives -110.44 eV per cell. For the energy relative to the elements, the calculation gives 559 meV/atom.

The space group is R-3m (No. 166, hexagonal axes) and the conventional cell measures 3.0001, 3.0001 and 29.8901 Å, with angles of 90.00, 90.00 and 120.00 degrees. The distinct sites, in fractional coordinates, are Pa at (0.0000, 0.0000, 0.0930), Co at (0.0000, 0.0000, 0.5000) and W at (0.0000, 0.0000, 0.0000).

=====

Record 11
First-principles (PBE) data for an optimized crystal structure of Sc2TaBr, as listed in Alexandria.

As for the formation energy (no corrections): -0.3026 eV/atom. Its density of states at the Fermi level is 4.89 states/eV/cell. For the total DFT energy (no corrections), the calculation gives -27.40 eV per cell.

The space group is P2/m (No. 10) and the conventional cell measures 3.279, 3.230 and 8.611 Å, with angles of 90.00, 90.06 and 90.00 degrees. The distinct sites, in fractional coordinates, are Sc at (0.000, 0.000, 0.228), Ta at (0.500, 0.500, 0.000) and Br at (0.000, 0.500, 0.500).

=====

Record 12
First-principles (PBE) data for an optimized crystal structure of YHf2Tc9, as listed in Alexandria.

Its density of states at the Fermi level is 41.80 states/eV/cell. For the total DFT energy (no corrections), the calculation gives -364.63 eV per cell. For the energy relative to the elements, the calculation gives -157 meV/atom.

The space group is R-3m (No. 166, hexagonal axes) and the conventional cell measures 5.2511, 5.2511 and 25.9769 Å, with angles of 90.00, 90.00 and 120.00 degrees. The distinct sites, in fractional coordinates, are Y at (0.0000, 0.0000, 0.0000), Hf at (0.0000, 0.0000, 0.1431), Tc at (0.0000, 0.0000, 0.3363), Tc at (0.0000, 0.0000, 0.5000) and Tc at (0.0100, 0.5050, 0.9143).